# 1
# GGA-PBE CoPd3Ru, relaxed
data_CoPd3Ru
_symmetry_space_group_name_H-M 'P m -3 m'
_symmetry_Int_Tables_number 221
_symmetry_space_group_name_Hall '-P 4 2 3'
_cell_length_a 4.516
_cell_length_b 4.516
_cell_length_c 4.516
_cell_angle_alpha 90.00
_cell_angle_beta 90.00
_cell_angle_gamma 90.00
loop_
_atom_site_label
_atom_site_type_symbol
_atom_site_fract_x
_atom_site_fract_y
_atom_site_fract_z
_atom_site_occupancy
Co1 Co 0.000 0.000 0.000 1
Pd1 Pd 0.000 0.000 0.500 1
Ru1 Ru 0.500 0.500 0.500 1
# crystal system: cubic
# E above lowest polymorph: 0 meV per atom
# formation enthalpy at 0 K: 1.22 eV per atom

---

# 2
# GGA-PBE AcPm3Tm, relaxed
data_AcPm3Tm
_symmetry_space_group_name_H-M 'R -3'
_symmetry_Int_Tables_number 148
_symmetry_space_group_name_Hall '-R 3'
_cell_length_a 6.2827
_cell_length_b 6.2827
_cell_length_c 34.5310
_cell_angle_alpha 90.00
_cell_angle_beta 90.00
_cell_angle_gamma 120.00
loop_
_atom_site_label
_atom_site_type_symbol
_atom_site_fract_x
_atom_site_fract_y
_atom_site_fract_z
_atom_site_occupancy
Ac1 Ac 0.0000 0.0000 0.1665 1
Pm1 Pm 0.0032 0.6630 0.7453 1
Tm1 Tm 0.0000 0.0000 0.3338 1
# crystal system: trigonal
# E above lowest polymorph: 332 meV per atom
# formation enthalpy at 0 K: 0.38 eV per atom

---

# 3
# GGA-PBE NdTh2S5, relaxed
data_NdTh2S5
_symmetry_space_group_name_H-M 'P n m a'
_symmetry_Int_Tables_number 62
_cell_length_a 12.295
_cell_length_b 8.053
_cell_length_c 7.550
_cell_angle_alpha 90.00
_cell_angle_beta 90.00
_cell_angle_gamma 90.00
loop_
_symmetry_equiv_pos_as_xyz
'x,y,z'
'-x,-y,-z'
'-x+1/2,-y,z+1/2'
'x+1/2,y,-z+1/2'
'x+1/2,-y+1/2,-z+1/2'
'-x+1/2,y+1/2,z+1/2'
'-x,y+1/2,-z'
'x,-y+1/2,z'
loop_
_atom_site_label
_atom_site_type_symbol
_atom_site_fract_x
_atom_site_fract_y
_atom_site_fract_z
_atom_site_occupancy
Nd1 Nd 0.005 0.250 0.077 1
Th1 Th 0.180 0.000 0.510 1
S1 S 0.001 0.250 0.468 1
S2 S 0.109 0.540 0.160 1
S3 S 0.185 0.250 0.821 1
S4 S 0.214 0.750 0.793 1
# crystal system: orthorhombic
# ΔE_f (raw): -1979 meV per atom

---

# 4
# GGA-PBE LaSi2Te, relaxed
data_LaSi2Te
_symmetry_space_group_name_H-M 'F m m m'
_symmetry_Int_Tables_number 69
_symmetry_space_group_name_Hall '-F 2 2'
_cell_length_a 6.248
_cell_length_b 6.376
_cell_length_c 10.541
_cell_angle_alpha 90.00
_cell_angle_beta 90.00
_cell_angle_gamma 90.00
loop_
_atom_site_label
_atom_site_type_symbol
_atom_site_fract_x
_atom_site_fract_y
_atom_site_fract_z
_atom_site_occupancy
La1 La 0.000 0.000 0.000 1
Si1 Si 0.000 0.250 0.250 1
Te1 Te 0.000 0.000 0.500 1
# crystal system: orthorhombic
# ΔE_f (raw): -160 meV per atom

---

# 5
# GGA-PBE Pm2Ni15Ir2, relaxed
data_Pm2Ni15Ir2
_symmetry_space_group_name_H-M 'R -3 m'
_symmetry_Int_Tables_number 166
_symmetry_space_group_name_Hall '-R 3 2"'
_cell_length_a 8.3971
_cell_length_b 8.3971
_cell_length_c 12.3713
_cell_angle_alpha 90.00
_cell_angle_beta 90.00
_cell_angle_gamma 120.00
loop_
_atom_site_label
_atom_site_type_symbol
_atom_site_fract_x
_atom_site_fract_y
_atom_site_fract_z
_atom_site_occupancy
Pm1 Pm 0.0000 0.0000 0.1560 1
Ni1 Ni 0.0000 0.2934 0.5000 1
Ni2 Ni 0.0000 0.5000 0.0000 1
Ni3 Ni 0.0003 0.5002 0.3445 1
Ir1 Ir 0.0000 0.0000 0.3981 1
# crystal system: trigonal
# formation enthalpy at 0 K: -0.17 eV per atom

---

# 6
# GGA-PBE CdSi, relaxed
data_CdSi
_symmetry_space_group_name_H-M 'I 41/a m d'
_symmetry_Int_Tables_number 141
_cell_length_a 4.368
_cell_length_b 4.368
_cell_length_c 8.236
_cell_angle_alpha 90.00
_cell_angle_beta 90.00
_cell_angle_gamma 90.00
loop_
_symmetry_equiv_pos_as_xyz
'x,y,z'
'-x,-y,-z'
'-y+1/4,x+3/4,z+1/4'
'y+1/4,-x+3/4,-z+1/4'
'-x+1/2,-y,z+1/2'
'x+1/2,y,-z+1/2'
'y+1/4,-x+1/4,z+3/4'
'-y+1/4,x+1/4,-z+3/4'
'x,-y,-z'
'-x,y,z'
'-y+1/4,-x+1/4,-z+3/4'
'y+1/4,x+1/4,z+3/4'
'-x+1/2,y,-z+1/2'
'x+1/2,-y,z+1/2'
'y+1/4,x+3/4,-z+1/4'
'-y+1/4,-x+3/4,z+1/4'
'x+1/2,y+1/2,z+1/2'
'-x+1/2,-y+1/2,-z+1/2'
'-y+3/4,x+1/4,z+3/4'
'y+3/4,-x+1/4,-z+3/4'
'-x,-y+1/2,z'
'x,y+1/2,-z'
'y+3/4,-x+3/4,z+1/4'
'-y+3/4,x+3/4,-z+1/4'
'x+1/2,-y+1/2,-z+1/2'
'-x+1/2,y+1/2,z+1/2'
'-y+3/4,-x+3/4,-z+1/4'
'y+3/4,x+3/4,z+1/4'
'-x,y+1/2,-z'
'x,-y+1/2,z'
'y+3/4,x+1/4,-z+3/4'
'-y+3/4,-x+1/4,z+3/4'
loop_
_atom_site_label
_atom_site_type_symbol
_atom_site_fract_x
_atom_site_fract_y
_atom_site_fract_z
_atom_site_occupancy
Cd1 Cd 0.000 0.250 0.375 1
Si1 Si 0.000 0.250 0.875 1
# crystal system: tetragonal
# ΔE_f (raw): 479 meV per atom

---

# 7
# GGA-PBE Tb12CdFe6, relaxed
data_Tb12CdFe6
_symmetry_space_group_name_H-M 'I m -3'
_symmetry_Int_Tables_number 204
_symmetry_space_group_name_Hall '-I 2 2 3'
_cell_length_a 9.736
_cell_length_b 9.736
_cell_length_c 9.736
_cell_angle_alpha 90.00
_cell_angle_beta 90.00
_cell_angle_gamma 90.00
loop_
_atom_site_label
_atom_site_type_symbol
_atom_site_fract_x
_atom_site_fract_y
_atom_site_fract_z
_atom_site_occupancy
Tb1 Tb 0.000 0.299 0.196 1
Cd1 Cd 0.000 0.000 0.000 1
Fe1 Fe 0.000 0.109 0.500 1
# crystal system: cubic
# formation enthalpy at 0 K: -0.04 eV per atom

---

# 8
# GGA-PBE PuIn2Cu, relaxed
data_PuIn2Cu
_symmetry_space_group_name_H-M 'R -3 m'
_symmetry_Int_Tables_number 166
_symmetry_space_group_name_Hall '-R 3 2"'
_cell_length_a 3.2228
_cell_length_b 3.2228
_cell_length_c 32.0703
_cell_angle_alpha 90.00
_cell_angle_beta 90.00
_cell_angle_gamma 120.00
loop_
_atom_site_label
_atom_site_type_symbol
_atom_site_fract_x
_atom_site_fract_y
_atom_site_fract_z
_atom_site_occupancy
Pu1 Pu 0.0000 0.0000 0.0000 1
In1 In 0.0000 0.0000 0.1015 1
Cu1 Cu 0.0000 0.0000 0.5000 1
# crystal system: trigonal
# E above lowest polymorph: 404 meV per atom
# formation enthalpy at 0 K: 0.28 eV per atom

---

# 9
# GGA-PBE Na4Cu3F12, relaxed
data_Na4Cu3F12
_symmetry_space_group_name_H-M 'I m -3'
_symmetry_Int_Tables_number 204
_symmetry_space_group_name_Hall '-I 2 2 3'
_cell_length_a 8.218
_cell_length_b 8.218
_cell_length_c 8.218
_cell_angle_alpha 90.00
_cell_angle_beta 90.00
_cell_angle_gamma 90.00
loop_
_atom_site_label
_atom_site_type_symbol
_atom_site_fract_x
_atom_site_fract_y
_atom_site_fract_z
_atom_site_occupancy
Na1 Na 0.250 0.250 0.250 1
Cu1 Cu 0.000 0.000 0.500 1
F1 F 0.000 0.157 0.344 1
# crystal system: cubic
# ΔE_f (raw): -2042 meV per atom

---

# 10
# GGA-PBE Dy3Ag3AsO8, relaxed
data_Dy3Ag3AsO8
_symmetry_space_group_name_H-M 'C 1 2/m 1'
_symmetry_Int_Tables_number 12
_cell_length_a 11.746
_cell_length_b 6.783
_cell_length_c 6.919
_cell_angle_alpha 90.00
_cell_angle_beta 124.55
_cell_angle_gamma 90.00
loop_
_symmetry_equiv_pos_as_xyz
'x,y,z'
'-x,-y,-z'
'-x,y,-z'
'x,-y,z'
'x+1/2,y+1/2,z'
'-x+1/2,-y+1/2,-z'
'-x+1/2,y+1/2,-z'
'x+1/2,-y+1/2,z'
loop_
_atom_site_label
_atom_site_type_symbol
_atom_site_fract_x
_atom_site_fract_y
_atom_site_fract_z
_atom_site_occupancy
Dy1 Dy 0.000 0.000 0.000 1
Dy2 Dy 0.250 0.250 0.000 1
Ag1 Ag 0.000 0.500 0.500 1
Ag2 Ag 0.250 0.250 0.500 1
As1 As 0.000 0.500 0.000 1
O1 O 0.011 0.279 0.814 1
O2 O 0.210 0.500 0.186 1
O3 O 0.229 0.000 0.186 1
# crystal system: monoclinic
# ΔE_f (raw): -1868 meV per atom

---

# 11
# GGA-PBE CsMg2MnI8, relaxed
data_CsMg2MnI8
_symmetry_space_group_name_H-M 'P -1'
_symmetry_Int_Tables_number 2
_cell_length_a 7.236
_cell_length_b 7.311
_cell_length_c 11.167
_cell_angle_alpha 82.70
_cell_angle_beta 86.84
_cell_angle_gamma 68.68
loop_
_symmetry_equiv_pos_as_xyz
'x,y,z'
'-x,-y,-z'
loop_
_atom_site_label
_atom_site_type_symbol
_atom_site_fract_x
_atom_site_fract_y
_atom_site_fract_z
_atom_site_occupancy
Cs1 Cs 0.000 0.000 0.000 1
Mg1 Mg 0.373 0.372 0.305 1
Mn1 Mn 0.000 0.000 0.500 1
I1 I 0.203 0.738 0.686 1
I2 I 0.229 0.220 0.518 1
I3 I 0.281 0.772 0.318 1
I4 I 0.316 0.310 0.083 1
# crystal system: triclinic
# ΔE_f (raw): -825 meV per atom

---

# 12
# GGA-PBE MgTcHW2, relaxed
data_MgTcHW2
_symmetry_space_group_name_H-M 'P 4/m m m'
_symmetry_Int_Tables_number 123
_symmetry_space_group_name_Hall '-P 4 2'
_cell_length_a 4.013
_cell_length_b 4.013
_cell_length_c 4.117
_cell_angle_alpha 90.00
_cell_angle_beta 90.00
_cell_angle_gamma 90.00
loop_
_atom_site_label
_atom_site_type_symbol
_atom_site_fract_x
_atom_site_fract_y
_atom_site_fract_z
_atom_site_occupancy
Mg1 Mg 0.000 0.000 0.000 1
Tc1 Tc 0.500 0.500 0.000 1
H1 H 0.500 0.500 0.500 1
W1 W 0.000 0.500 0.500 1
# crystal system: tetragonal
# DFT total energy: -7.835 eV/atom

---

# 13
# GGA-PBE Cd2Sn2S, relaxed
data_Cd2Sn2S
_symmetry_space_group_name_H-M 'P 4/m b m'
_symmetry_Int_Tables_number 127
_symmetry_space_group_name_Hall '-P 4 2ab'
_cell_length_a 7.182
_cell_length_b 7.182
_cell_length_c 4.937
_cell_angle_alpha 90.00
_cell_angle_beta 90.00
_cell_angle_gamma 90.00
loop_
_atom_site_label
_atom_site_type_symbol
_atom_site_fract_x
_atom_site_fract_y
_atom_site_fract_z
_atom_site_occupancy
Cd1 Cd 0.145 0.355 0.000 1
Sn1 Sn 0.158 0.658 0.500 1
S1 S 0.000 0.000 0.000 1
# crystal system: tetragonal
# E above lowest polymorph: 52 meV per atom
# ΔE_f (raw): 108 meV per atom

---

# 14
# GGA-PBE La2Sm2Tm7, relaxed
data_La2Sm2Tm7
_symmetry_space_group_name_H-M 'C 1 2/m 1'
_symmetry_Int_Tables_number 12
_cell_length_a 11.307
_cell_length_b 11.586
_cell_length_c 6.055
_cell_angle_alpha 90.00
_cell_angle_beta 113.97
_cell_angle_gamma 90.00
loop_
_symmetry_equiv_pos_as_xyz
'x,y,z'
'-x,-y,-z'
'-x,y,-z'
'x,-y,z'
'x+1/2,y+1/2,z'
'-x+1/2,-y+1/2,-z'
'-x+1/2,y+1/2,-z'
'x+1/2,-y+1/2,z'
loop_
_atom_site_label
_atom_site_type_symbol
_atom_site_fract_x
_atom_site_fract_y
_atom_site_fract_z
_atom_site_occupancy
La1 La 0.000 0.208 0.000 1
Sm1 Sm 0.099 0.500 0.314 1
Tm1 Tm 0.000 0.000 0.500 1
Tm2 Tm 0.172 0.236 0.673 1
Tm3 Tm 0.239 0.000 0.077 1
# crystal system: monoclinic
# E above lowest polymorph: 8 meV per atom
# formation enthalpy at 0 K: 0.16 eV per atom

---

# 15
# GGA-PBE Ac2Pm3NdN6, relaxed
data_Ac2Pm3NdN6
_symmetry_space_group_name_H-M 'C 1 2/m 1'
_symmetry_Int_Tables_number 12
_cell_length_a 16.321
_cell_length_b 3.709
_cell_length_c 7.458
_cell_angle_alpha 90.00
_cell_angle_beta 103.30
_cell_angle_gamma 90.00
loop_
_symmetry_equiv_pos_as_xyz
'x,y,z'
'-x,-y,-z'
'-x,y,-z'
'x,-y,z'
'x+1/2,y+1/2,z'
'-x+1/2,-y+1/2,-z'
'-x+1/2,y+1/2,-z'
'x+1/2,-y+1/2,z'
loop_
_atom_site_label
_atom_site_type_symbol
_atom_site_fract_x
_atom_site_fract_y
_atom_site_fract_z
_atom_site_occupancy
Ac1 Ac 0.166 0.000 0.328 1
Pm1 Pm 0.000 0.500 0.500 1
Pm2 Pm 0.160 0.000 0.832 1
Nd1 Nd 0.000 0.500 0.000 1
N1 N 0.003 0.000 0.751 1
N2 N 0.159 0.500 0.596 1
N3 N 0.161 0.500 0.073 1
# crystal system: monoclinic
# ΔE_f (raw): -1261 meV per atom

---

How do the records compare in calculated density? In the order shown, they have 8.64, 7.01, 6.83, 5.10, 10.25, 5.94, 8.47, 9.28, 3.06, 7.42, 3.81, 12.30, 6.45, 8.07, 8.44 g cm⁻³.